Entry 1:
# Ba6AgPb2O | Alexandria via LeMat-Bulk | PBE | relaxed
# - raw formation energy (eV/atom) = -0.68
# - final energy (eV/atom) = -3.36
# - size of the total moment (μB per formula unit) = 0.00
data_Ba6AgPb2O
_chemical_formula_sum 'Ba12 Ag2 Pb4 O2'
_cell_length_a 8.314
_cell_length_b 11.818
_cell_length_c 8.432
_cell_angle_alpha 90.00
_cell_angle_beta 90.00
_cell_angle_gamma 90.00
_symmetry_space_group_name_H-M 'P m m n'
_symmetry_Int_Tables_number 59
loop_
_symmetry_equiv_pos_as_xyz
'x,y,z'
'-x,-y,-z'
'-x+1/2,-y+1/2,z'
'x+1/2,y+1/2,-z'
'x+1/2,-y,-z'
'-x+1/2,y,z'
'-x,y+1/2,-z'
'x,-y+1/2,z'
loop_
_atom_site_label
_atom_site_type_symbol
_atom_site_fract_x
_atom_site_fract_y
_atom_site_fract_z
Ba1 Ba 0.003 0.250 0.054
Ba2 Ba 0.024 0.250 0.512
Ba3 Ba 0.250 0.018 0.272
Ag1 Ag 0.250 0.750 0.227
Pb1 Pb 0.250 0.511 0.732
O1 O 0.250 0.250 0.263

---

Entry 2:
# BaAgPdO3 | Alexandria via LeMat-Bulk | PBE | relaxed
# - raw formation energy (eV/atom) = -0.89
# - final energy (eV/atom) = -5.03
# - size of the total moment (μB per formula unit) = 0.02
data_BaAgPdO3
_chemical_formula_sum 'Ba4 Ag4 Pd4 O12'
_cell_length_a 5.449
_cell_length_b 13.562
_cell_length_c 5.911
_cell_angle_alpha 90.00
_cell_angle_beta 90.00
_cell_angle_gamma 90.00
_symmetry_space_group_name_H-M 'C m c m'
_symmetry_Int_Tables_number 63
_symmetry_space_group_name_Hall '-C 2c 2'
loop_
_atom_site_label
_atom_site_type_symbol
_atom_site_fract_x
_atom_site_fract_y
_atom_site_fract_z
Ba1 Ba 0.000 0.207 0.250
Ag1 Ag 0.000 0.093 0.750
Pd1 Pd 0.000 0.492 0.750
O1 O 0.000 0.251 0.750
O2 O 0.247 0.500 0.000

---

Entry 3:
# BaAgPdO2 | Alexandria via LeMat-Bulk | PBE | relaxed
# - raw formation energy (eV/atom) = -0.81
# - final energy (eV/atom) = -4.78
# - size of the total moment (μB per formula unit) = 0.98
data_BaAgPdO2
_chemical_formula_sum 'Ba4 Ag4 Pd4 O8'
_cell_length_a 5.601
_cell_length_b 12.569
_cell_length_c 4.857
_cell_angle_alpha 90.00
_cell_angle_beta 90.00
_cell_angle_gamma 90.00
_symmetry_space_group_name_H-M 'C m m e'
_symmetry_Int_Tables_number 67
_symmetry_space_group_name_Hall '-C 2a 2'
loop_
_atom_site_label
_atom_site_type_symbol
_atom_site_fract_x
_atom_site_fract_y
_atom_site_fract_z
Ba1 Ba 0.000 0.250 0.242
Ag1 Ag 0.000 0.000 0.500
Pd1 Pd 0.250 0.000 0.000
O1 O 0.000 0.138 0.766

---

Entry 4:
# Ba5Ag2PdO | Alexandria via LeMat-Bulk | PBE | relaxed
# - raw formation energy (eV/atom) = -0.77
# - final energy (eV/atom) = -3.60
# - size of the total moment (μB per formula unit) = 0.00
data_Ba5Ag2PdO
_chemical_formula_sum 'Ba20 Ag8 Pd4 O4'
_cell_length_a 4.604
_cell_length_b 20.470
_cell_length_c 14.637
_cell_angle_alpha 90.00
_cell_angle_beta 90.00
_cell_angle_gamma 90.00
_symmetry_space_group_name_H-M 'C m c 21'
_symmetry_Int_Tables_number 36
loop_
_symmetry_equiv_pos_as_xyz
'x,y,z'
'-x,-y,z+1/2'
'-x,y,z'
'x,-y,z+1/2'
'x+1/2,y+1/2,z'
'-x+1/2,-y+1/2,z+1/2'
'-x+1/2,y+1/2,z'
'x+1/2,-y+1/2,z+1/2'
loop_
_atom_site_label
_atom_site_type_symbol
_atom_site_fract_x
_atom_site_fract_y
_atom_site_fract_z
Ba1 Ba 0.000 0.005 0.000
Ba2 Ba 0.000 0.156 0.247
Ba3 Ba 0.000 0.175 0.613
Ba4 Ba 0.000 0.206 0.913
Ba5 Ba 0.000 0.465 0.228
Ag1 Ag 0.000 0.371 0.567
Ag2 Ag 0.000 0.385 0.918
Pd1 Pd 0.000 0.308 0.267
O1 O 0.000 0.051 0.648

---

Entry 5:
# BaPmAgO3 | Alexandria via LeMat-Bulk | PBE | relaxed
# - raw formation energy (eV/atom) = -2.28
# - final energy (eV/atom) = -6.35
# - size of the total moment (μB per formula unit) = 0.00
data_BaPmAgO3
_chemical_formula_sum 'Ba2 Pm2 Ag2 O6'
_cell_length_a 7.035
_cell_length_b 3.758
_cell_length_c 9.463
_cell_angle_alpha 90.00
_cell_angle_beta 104.67
_cell_angle_gamma 90.00
_symmetry_space_group_name_H-M 'P 1 21/m 1'
_symmetry_Int_Tables_number 11
loop_
_symmetry_equiv_pos_as_xyz
'x,y,z'
'-x,-y,-z'
'-x,y+1/2,-z'
'x,-y+1/2,z'
loop_
_atom_site_label
_atom_site_type_symbol
_atom_site_fract_x
_atom_site_fract_y
_atom_site_fract_z
Ba1 Ba 0.040 0.250 0.310
Pm1 Pm 0.463 0.250 0.660
Ag1 Ag 0.309 0.250 0.997
O1 O 0.209 0.250 0.771
O2 O 0.304 0.750 0.498
O3 O 0.362 0.250 0.222

---

Entry 6:
# Ba2PmAg3O6 | Alexandria via LeMat-Bulk | PBE | relaxed
# - raw formation energy (eV/atom) = -1.56
# - final energy (eV/atom) = -5.47
# - size of the total moment (μB per formula unit) = 0.00
data_Ba2PmAg3O6
_chemical_formula_sum 'Ba2 Pm1 Ag3 O6'
_cell_length_a 4.135
_cell_length_b 4.135
_cell_length_c 12.702
_cell_angle_alpha 90.00
_cell_angle_beta 90.00
_cell_angle_gamma 90.00
_symmetry_space_group_name_H-M 'P 4/m m m'
_symmetry_Int_Tables_number 123
_symmetry_space_group_name_Hall '-P 4 2'
loop_
_atom_site_label
_atom_site_type_symbol
_atom_site_fract_x
_atom_site_fract_y
_atom_site_fract_z
Ba1 Ba 0.000 0.000 0.202
Pm1 Pm 0.000 0.000 0.500
Ag1 Ag 0.500 0.500 0.000
Ag2 Ag 0.500 0.500 0.364
O1 O 0.000 0.500 0.384
O2 O 0.500 0.500 0.162

---

Entry 7:
# BaPmAg2O4 | Alexandria via LeMat-Bulk | PBE | relaxed
# - raw formation energy (eV/atom) = -1.68
# - final energy (eV/atom) = -5.70
# - size of the total moment (μB per formula unit) = 0.00
data_BaPmAg2O4
_chemical_formula_sum 'Ba2 Pm2 Ag4 O8'
_cell_length_a 6.075
_cell_length_b 6.207
_cell_length_c 7.288
_cell_angle_alpha 90.00
_cell_angle_beta 90.00
_cell_angle_gamma 90.00
_symmetry_space_group_name_H-M 'I 2 2 2'
_symmetry_Int_Tables_number 23
loop_
_symmetry_equiv_pos_as_xyz
'x,y,z'
'-x,-y,z'
'x,-y,-z'
'-x,y,-z'
'x+1/2,y+1/2,z+1/2'
'-x+1/2,-y+1/2,z+1/2'
'x+1/2,-y+1/2,-z+1/2'
'-x+1/2,y+1/2,-z+1/2'
loop_
_atom_site_label
_atom_site_type_symbol
_atom_site_fract_x
_atom_site_fract_y
_atom_site_fract_z
Ba1 Ba 0.000 0.000 0.000
Pm1 Pm 0.000 0.000 0.500
Ag1 Ag 0.000 0.500 0.221
O1 O 0.209 0.201 0.305

---

Entry 8:
# BaPr2AgO5 | Alexandria via LeMat-Bulk | PBE | relaxed
# - raw formation energy (eV/atom) = -2.32
# - final energy (eV/atom) = -6.67
# - size of the total moment (μB per formula unit) = 0.94
data_BaPr2AgO5
_chemical_formula_sum 'Ba4 Pr8 Ag4 O20'
_cell_length_a 6.870
_cell_length_b 6.870
_cell_length_c 12.516
_cell_angle_alpha 90.00
_cell_angle_beta 90.00
_cell_angle_gamma 90.00
_symmetry_space_group_name_H-M 'I 4/m c m'
_symmetry_Int_Tables_number 140
_symmetry_space_group_name_Hall '-I 4 2c'
loop_
_atom_site_label
_atom_site_type_symbol
_atom_site_fract_x
_atom_site_fract_y
_atom_site_fract_z
Ba1 Ba 0.000 0.000 0.250
Pr1 Pr 0.170 0.330 0.000
Ag1 Ag 0.000 0.500 0.250
O1 O 0.000 0.000 0.000
O2 O 0.148 0.352 0.380

---

Entry 9:
# Ba2AgPtO4 | Alexandria via LeMat-Bulk | PBE | relaxed
# - raw formation energy (eV/atom) = -1.26
# - final energy (eV/atom) = -5.33
# - size of the total moment (μB per formula unit) = 1.08
data_Ba2AgPtO4
_chemical_formula_sum 'Ba16 Ag8 Pt8 O32'
_cell_length_a 5.203
_cell_length_b 13.644
_cell_length_c 22.340
_cell_angle_alpha 90.00
_cell_angle_beta 90.00
_cell_angle_gamma 90.00
_symmetry_space_group_name_H-M 'F d d d'
_symmetry_Int_Tables_number 70
loop_
_symmetry_equiv_pos_as_xyz
'x,y,z'
'-x,-y,-z'
'-x+1/4,-y+1/4,z'
'x+1/4,y+1/4,-z'
'x,-y+1/4,-z+1/4'
'-x,y+1/4,z+1/4'
'-x+1/4,y,-z+1/4'
'x+1/4,-y,z+1/4'
'x,y+1/2,z+1/2'
'-x,-y+1/2,-z+1/2'
'-x+1/4,-y+3/4,z+1/2'
'x+1/4,y+3/4,-z+1/2'
'x,-y+3/4,-z+3/4'
'-x,y+3/4,z+3/4'
'-x+1/4,y+1/2,-z+3/4'
'x+1/4,-y+1/2,z+3/4'
'x+1/2,y,z+1/2'
'-x+1/2,-y,-z+1/2'
'-x+3/4,-y+1/4,z+1/2'
'x+3/4,y+1/4,-z+1/2'
'x+1/2,-y+1/4,-z+3/4'
'-x+1/2,y+1/4,z+3/4'
'-x+3/4,y,-z+3/4'
'x+3/4,-y,z+3/4'
'x+1/2,y+1/2,z'
'-x+1/2,-y+1/2,-z'
'-x+3/4,-y+3/4,z'
'x+3/4,y+3/4,-z'
'x+1/2,-y+3/4,-z+1/4'
'-x+1/2,y+3/4,z+1/4'
'-x+3/4,y+1/2,-z+1/4'
'x+3/4,-y+1/2,z+1/4'
loop_
_atom_site_label
_atom_site_type_symbol
_atom_site_fract_x
_atom_site_fract_y
_atom_site_fract_z
Ba1 Ba 0.125 0.125 0.284
Ag1 Ag 0.125 0.125 0.625
Pt1 Pt 0.125 0.125 0.125
O1 O 0.090 0.022 0.188

---

Entry 10:
# BaAgPtO3 | Alexandria via LeMat-Bulk | PBE | relaxed
# - raw formation energy (eV/atom) = -0.91
# - final energy (eV/atom) = -5.19
# - size of the total moment (μB per formula unit) = 0.40
data_BaAgPtO3
_chemical_formula_sum 'Ba4 Ag4 Pt4 O12'
_cell_length_a 5.256
_cell_length_b 14.490
_cell_length_c 6.088
_cell_angle_alpha 90.00
_cell_angle_beta 90.00
_cell_angle_gamma 90.00
_symmetry_space_group_name_H-M 'C m c m'
_symmetry_Int_Tables_number 63
_symmetry_space_group_name_Hall '-C 2c 2'
loop_
_atom_site_label
_atom_site_type_symbol
_atom_site_fract_x
_atom_site_fract_y
_atom_site_fract_z
Ba1 Ba 0.000 0.206 0.250
Ag1 Ag 0.000 0.101 0.750
Pt1 Pt 0.000 0.497 0.750
O1 O 0.000 0.247 0.750
O2 O 0.243 0.500 0.000

---

Entry 11:
# Ba5Ag2PtO | Alexandria via LeMat-Bulk | PBE | relaxed
# - raw formation energy (eV/atom) = -0.84
# - final energy (eV/atom) = -3.77
# - size of the total moment (μB per formula unit) = 0.00
data_Ba5Ag2PtO
_chemical_formula_sum 'Ba20 Ag8 Pt4 O4'
_cell_length_a 4.602
_cell_length_b 20.361
_cell_length_c 14.661
_cell_angle_alpha 90.00
_cell_angle_beta 90.00
_cell_angle_gamma 90.00
_symmetry_space_group_name_H-M 'C m c 21'
_symmetry_Int_Tables_number 36
loop_
_symmetry_equiv_pos_as_xyz
'x,y,z'
'-x,-y,z+1/2'
'-x,y,z'
'x,-y,z+1/2'
'x+1/2,y+1/2,z'
'-x+1/2,-y+1/2,z+1/2'
'-x+1/2,y+1/2,z'
'x+1/2,-y+1/2,z+1/2'
loop_
_atom_site_label
_atom_site_type_symbol
_atom_site_fract_x
_atom_site_fract_y
_atom_site_fract_z
Ba1 Ba 0.000 0.004 0.000
Ba2 Ba 0.000 0.154 0.242
Ba3 Ba 0.000 0.178 0.610
Ba4 Ba 0.000 0.207 0.904
Ba5 Ba 0.000 0.462 0.228
Ag1 Ag 0.000 0.371 0.561
Ag2 Ag 0.000 0.386 0.914
Pt1 Pt 0.000 0.305 0.260
O1 O 0.000 0.053 0.647

---

Entry 12:
# Ba2AgPtO6 | Alexandria via LeMat-Bulk | PBE | relaxed
# - raw formation energy (eV/atom) = -1.26
# - final energy (eV/atom) = -5.51
# - size of the total moment (μB per formula unit) = 3.10
data_Ba2AgPtO6
_chemical_formula_sum 'Ba4 Ag2 Pt2 O12'
_cell_length_a 6.088
_cell_length_b 5.973
_cell_length_c 10.324
_cell_angle_alpha 90.00
_cell_angle_beta 125.76
_cell_angle_gamma 90.00
_symmetry_space_group_name_H-M 'P 1 21/c 1'
_symmetry_Int_Tables_number 14
loop_
_symmetry_equiv_pos_as_xyz
'x,y,z'
'-x,-y,-z'
'-x,y+1/2,-z+1/2'
'x,-y+1/2,z+1/2'
loop_
_atom_site_label
_atom_site_type_symbol
_atom_site_fract_x
_atom_site_fract_y
_atom_site_fract_z
Ba1 Ba 0.248 0.022 0.250
Ag1 Ag 0.500 0.000 0.000
Pt1 Pt 0.000 0.000 0.500
O1 O 0.170 0.242 0.967
O2 O 0.217 0.708 0.966
O3 O 0.298 0.007 0.733